The following is a PBE-GGA calculation of a relaxed K4In2Au3 crystal, from Alexandria via LeMat-Bulk.

The structure belongs to space group C2/m (No. 12); the cell edges are 19.506, 4.163 and 8.220 Å and the angles 90.00°, 108.07° and 90.00°. The inequivalent atoms are K at (0.064, 0.000, 0.382), K at (0.248, 0.000, 0.780), In at (0.097, 0.000, 0.979), Au at (0.000, 0.500, 0.000) and Au at (0.102, 0.500, 0.746).

For the density of states at the Fermi level, the calculation gives 0.45 states/eV per atom. As for the energy of formation: -0.224 eV/atom.